Version i
First-principles (PBE) data for crystalline BeTcP2O at its relaxed geometry, as listed in the Alexandria database.

Results
ρ ... 4.901 g/cm3
V ... 12.532 Å³/atom

```
BeTcP2O
1.0
-4.558 0.106 -1.086
0.987 -1.592 -4.296
-0.283 -2.682 0.928
P Tc O Be
2 1 1 1
Direct
0.000 0.500 0.000 P
0.500 0.000 0.000 P
0.500 0.500 0.500 Tc
0.000 0.000 0.500 O
0.000 0.000 0.000 Be
```

Version ii
First-principles (PBE) data for crystalline BeTcP2O at its relaxed geometry, as listed in the Alexandria database.

Results
ρ ... 3.730 g/cm3
V ... 16.468 Å³/atom

```
BeTcP2O
1.0
-1.378 -3.877 -2.348
4.532 -1.147 -0.766
0.045 -1.912 3.131
P Tc O Be
2 1 1 1
Direct
0.000 0.500 0.000 P
0.500 0.000 0.000 P
0.000 0.000 0.000 Tc
0.000 0.000 0.500 O
0.500 0.500 0.500 Be
```

version i comes first in stability; the runner-up is 241 meV/atom higher.

Version i
First-principles (PBE) data for crystalline BeTePO2 at its relaxed geometry, as listed in the Alexandria database.

Results
ρ ... 5.404 g/cm3
V ... 12.267 Å³/atom

```
BeTePO2
1.0
-1.417 0.452 3.387
2.245 -2.641 1.291
3.122 3.091 0.894
P Te O Be
1 1 2 1
Direct
0.000 0.000 0.500 P
0.500 0.500 0.500 Te
0.000 0.500 0.000 O
0.500 0.000 0.000 O
0.000 0.000 0.000 Be
```

Version ii
First-principles (PBE) data for crystalline BeTePO2 at its relaxed geometry, as listed in the Alexandria database.

Results
ρ ... 4.092 g/cm3
V ... 16.197 Å³/atom

```
BeTePO2
1.0
-3.118 -0.463 2.290
2.323 -1.020 2.957
0.340 5.109 1.496
P Te O Be
1 1 2 1
Direct
0.000 0.000 0.500 P
0.000 0.000 0.000 Te
0.000 0.500 0.000 O
0.500 0.000 0.000 O
0.500 0.500 0.500 Be
```

version i comes first in stability; the runner-up is 260 meV/atom higher.

Version i
First-principles (PBE) data for crystalline BeTeP2O at its relaxed geometry, as listed in the Alexandria database.

Results
ρ ... 3.521 g/cm3
V ... 20.236 Å³/atom

```
BeTeP2O
1.0
-1.574 -4.826 -0.487
0.209 -0.579 5.062
-3.697 1.177 0.287
P Te O Be
2 1 1 1
Direct
0.000 0.500 0.000 P
0.500 0.000 0.000 P
0.000 0.000 0.000 Te
0.000 0.000 0.500 O
0.500 0.500 0.500 Be
```

Version ii
First-principles (PBE) data for crystalline BeTeP2O at its relaxed geometry, as listed in the Alexandria database.

Results
ρ ... 4.601 g/cm3
V ... 15.489 Å³/atom

```
BeTeP2O
1.0
-2.937 1.445 -3.797
2.616 -2.913 -3.131
-1.911 -2.346 0.586
P Te O Be
2 1 1 1
Direct
0.000 0.500 0.000 P
0.500 0.000 0.000 P
0.500 0.500 0.500 Te
0.000 0.000 0.500 O
0.000 0.000 0.000 Be
```

version ii comes first in stability; the runner-up is 939 meV/atom higher.

Version i
First-principles (PBE) data for crystalline TiBePO2 at its relaxed geometry, as listed in the Alexandria database.

Results
ρ ... 3.614 g/cm3
V ... 11.014 Å³/atom

```
TiBePO2
1.0
-2.584 0.293 -2.240
-2.017 -1.831 2.087
-1.385 3.934 2.113
P Be O Ti
1 1 2 1
Direct
0.000 0.000 0.500 P
0.000 0.000 0.000 Be
0.000 0.500 0.000 O
0.500 0.000 0.000 O
0.500 0.500 0.500 Ti
```

Version ii
First-principles (PBE) data for crystalline TiBePO2 at its relaxed geometry, as listed in the Alexandria database.

Results
ρ ... 2.716 g/cm3
V ... 14.658 Å³/atom

```
TiBePO2
1.0
-3.164 1.221 -1.446
-1.559 -3.279 0.642
-1.570 1.700 4.870
P Be O Ti
1 1 2 1
Direct
0.000 0.000 0.500 P
0.500 0.500 0.500 Be
0.000 0.500 0.000 O
0.500 0.000 0.000 O
0.000 0.000 0.000 Ti
```

version ii comes first in stability; the runner-up is 195 meV/atom higher.